(1)
A plane-wave DFT calculation with PBE was carried out for an optimized crystal structure of Ac5Bi2Ru.

Lattice parameters (Å, degrees): 6.3853 12.1551 16.7005 90.00 90.00 90.00
Space group Cmcm (No. 63)
Symmetry-distinct sites (fractional):
Ac  0.0000  0.0726  0.1216
Ac  0.0000  0.2801  0.7500
Ac  0.0000  0.3818  0.1210
Bi  0.0000  0.2131  0.5560
Ru  0.0000  0.2309  0.2500

## Properties
As for the density of states at the Fermi level: 25.37 states/eV/cell. The formation energy is -0.3257 eV per atom.


(2)
A plane-wave DFT calculation with PBE was carried out for an optimized crystal structure of Ac5BiRu2.

Lattice parameters (Å, degrees): 8.4514 8.4514 14.8209 90.00 90.00 90.00
Space group I4/mcm (No. 140)
Symmetry-distinct sites (fractional):
Ac  0.0000  0.0000  0.0000
Ac  0.1578  0.3422  0.1300
Bi  0.0000  0.0000  0.2500
Ru  0.1444  0.3556  0.5000

## Properties
As for the density of states at the Fermi level: 23.27 states/eV/cell. The formation energy is -0.3750 eV per atom.


Results for size of the total moment: 0.00 0.00 (in μB/f.u., following the order of the records).